Record 1
The following is a PBE calculation of La2GaSnPd6 after structural relaxation, from Alexandria.

Properties
E_form: -68 kJ/mol of atoms
V: 205.1 Å³/cell
E: -55.13 eV for the cell shown

a b c (Å): 5.632 6.554 6.780
angles (deg): 84.01 65.50 64.71
Space group P-1 (No. 2)
One atom of each set of equivalent atoms:
La (0.248, 0.258, 0.246) x2
Ga (0.500, 0.500, 0.500) x1
Sn (0.000, 0.000, 0.000) x1
Pd (0.208, 0.304, 0.787) x2
Pd (0.255, 0.925, 0.567) x2
Pd (0.296, 0.698, 0.215) x2



Record 2
The following is a PBE calculation of CaPbW2 after structural relaxation, from Alexandria.

Properties
E_form: 89 kJ/mol of atoms
V: 80.7 Å³/cell
E: -27.92 eV for the cell shown

a b c (Å): 3.682 4.482 4.890
angles (deg): 90.00 90.00 90.00
Space group Pmmm (No. 47)
One atom of each set of equivalent atoms:
Ca (0.000, 0.000, 0.000) x1
Pb (0.500, 0.500, 0.000) x1
W (0.000, 0.500, 0.500) x1
W (0.500, 0.000, 0.500) x1



Record 3
The following is a PBE calculation of Tl5PbSe5 after structural relaxation, from Alexandria.

Properties
E_form (uncorrected): -0.295 eV per atom
V: 718.8 Å³/cell
E: -72.41 eV for the cell shown

a b c (Å): 13.854 6.073 8.914
angles (deg): 90.00 106.58 90.00
Space group C2/m (No. 12)
One atom of each set of equivalent atoms:
Tl (0.000, 0.000, 0.000) x2
Tl (0.172, 0.500, 0.826) x4
Tl (0.180, 0.500, 0.360) x4
Pb (0.000, 0.000, 0.500) x2
Se (0.000, 0.500, 0.500) x2
Se (0.165, 0.000, 0.331) x4
Se (0.165, 0.000, 0.827) x4



Record 4
The following is a PBE calculation of Ce3Sn2Os after structural relaxation, from Alexandria.

Properties
E_form: -27 kJ/mol of atoms
V: 681.7 Å³/cell
E: -154.94 eV for the cell shown

a b c (Å): 14.906 6.138 7.714
angles (deg): 90.00 105.00 90.00
Space group C2/c (No. 15)
One atom of each set of equivalent atoms:
Ce (0.000, 0.003, 0.250) x4
Ce (0.134, 0.498, 0.567) x8
Sn (0.185, 0.002, 0.092) x8
Os (0.000, 0.497, 0.750) x4



Record 5
The following is a PBE calculation of TbErNiSn after structural relaxation, from Alexandria.

Properties
E_form: -43 kJ/mol of atoms
V: 371.5 Å³/cell
E: -82.99 eV for the cell shown

a b c (Å): 7.188 7.188 7.188
angles (deg): 90.00 90.00 90.00
Space group F-43m (No. 216)
One atom of each set of equivalent atoms:
Tb (0.000, 0.000, 0.000) x4
Er (0.000, 0.000, 0.500) x4
Ni (0.250, 0.250, 0.250) x4
Sn (0.250, 0.250, 0.750) x4



Record 6
The following is a PBE calculation of Si2RuBr after structural relaxation, from Alexandria.

Properties
E_form (uncorrected): 0.289 eV per atom
V: 391.5 Å³/cell
E: -82.55 eV for the cell shown

a b c (Å): 5.875 5.875 11.342
angles (deg): 90.00 90.00 90.00
Space group I-42d (No. 122)
One atom of each set of equivalent atoms:
Si (0.163, 0.250, 0.125) x8
Ru (0.000, 0.000, 0.000) x4
Br (0.000, 0.000, 0.500) x4



Record 7
The following is a PBE calculation of K2AgSn6 after structural relaxation, from Alexandria.

Properties
E_form: -15 kJ/mol of atoms
V: 266.9 Å³/cell
E: -30.48 eV for the cell shown

a b c (Å): 6.8446 6.8446 6.5787
angles (deg): 90.00 90.00 120.00
Space group P-3m1 (No. 164)
One atom of each set of equivalent atoms:
K (0.3333, 0.6667, 0.3589) x2
Ag (0.0000, 0.0000, 0.5000) x1
Sn (0.1722, 0.3444, 0.8318) x6



Record 8
The following is a PBE calculation of Ti6ReIr5 after structural relaxation, from Alexandria.

Properties
E_form: -76 kJ/mol of atoms
V: 361.8 Å³/cell
E: -227.14 eV for the cell shown

a b c (Å): 4.271 12.805 6.616
angles (deg): 90.00 90.00 90.00
Space group Cmmm (No. 65)
One atom of each set of equivalent atoms:
Ti (0.000, 0.000, 0.244) x4
Ti (0.000, 0.334, 0.247) x8
Re (0.000, 0.500, 0.000) x2
Ir (0.000, 0.166, 0.500) x4
Ir (0.000, 0.169, 0.000) x4
Ir (0.000, 0.500, 0.500) x2



Size of the total moment for every record listed, in sequence, given in μB per cell: 0.00; 0.00; 0.00; 2.26; 0.00; 0.00; 0.00; 0.00.